Entry 1:
The following is a PBE calculation of an optimized crystal structure of SrSb2Te, from the Alexandria database.

Lattice parameters (Å, degrees): 4.564 4.564 6.801 90.00 90.00 90.00
Fractional positions:
Sr: 0.000 0.000 0.000
Sb: 0.000 0.000 0.496
Sb: 0.500 0.500 0.435
Te: 0.500 0.500 0.005

Properties
N(E_F) (states/eV/cell): 1.507
Volume (Å³ per atom): 35.42
VASP energy (eV/atom): -3.90
Calculated density (g cm⁻³): 5.376
ΔE_f (raw) (kcal/mol of atoms): -14.656

Entry 2:
The following is a PBE calculation of an optimized crystal structure of SrSb2Te2, from the Alexandria database.

Lattice parameters (Å, degrees): 8.658 8.658 8.658 149.16 149.16 44.18
Fractional positions:
Sr: 0.000 0.000 0.000
Sb: 0.413 0.413 0.000
Sb: 0.587 0.587 0.000
Te: 0.250 0.750 0.500
Te: 0.750 0.250 0.500

Properties
N(E_F) (states/eV/cell): 3.216
Volume (Å³ per atom): 34.02
VASP energy (eV/atom): -3.39
Calculated density (g cm⁻³): 5.724
ΔE_f (raw) (kcal/mol of atoms): -3.522
Energy relative to the lowest polymorph listed for this composition (meV/atom): 288

Entry 3:
The following is a PBE calculation of an optimized crystal structure of SrSb2Te2, from the Alexandria database.

Lattice parameters (Å, degrees): 8.864 8.864 4.255 90.00 90.00 90.00
Fractional positions:
Sr: 0.000 0.000 0.000
Sr: 0.500 0.500 0.000
Sb: 0.195 0.305 0.500
Sb: 0.305 0.805 0.500
Sb: 0.695 0.195 0.500
Sb: 0.805 0.695 0.500
Te: 0.146 0.646 0.000
Te: 0.354 0.146 0.000
Te: 0.646 0.854 0.000
Te: 0.854 0.354 0.000

Properties
N(E_F) (states/eV/cell): 3.016
Volume (Å³ per atom): 33.43
VASP energy (eV/atom): -3.66
Calculated density (g cm⁻³): 5.825
ΔE_f (raw) (kcal/mol of atoms): -9.559
Energy relative to the lowest polymorph listed for this composition (meV/atom): 26

Entry 4:
The following is a PBE calculation of an optimized crystal structure of SrSbTe2, from the Alexandria database.

Lattice parameters (Å, degrees): 3.977 3.977 7.836 90.00 90.00 90.11
Fractional positions:
Sr: 0.000 0.000 0.000
Sb: 0.000 0.000 0.500
Te: 0.500 0.500 0.256
Te: 0.500 0.500 0.744

Properties
N(E_F) (states/eV/cell): 2.871
Volume (Å³ per atom): 30.98
VASP energy (eV/atom): -3.54
Calculated density (g cm⁻³): 6.225
ΔE_f (raw) (kcal/mol of atoms): -12.001

Entry 5:
The following is a PBE calculation of an optimized crystal structure of SrSbTe2, from the Alexandria database.

Lattice parameters (Å, degrees): 4.190 4.179 8.099 90.00 90.17 90.00
Fractional positions:
Sr: 0.000 0.000 0.000
Sb: 0.500 0.000 0.500
Te: 0.499 0.500 0.774
Te: 0.501 0.500 0.226

Properties
N(E_F) (states/eV/cell): 1.038
Volume (Å³ per atom): 35.45
VASP energy (eV/atom): -3.74
Calculated density (g cm⁻³): 5.440
ΔE_f (raw) (kcal/mol of atoms): -16.474

Entry 6:
The following is a PBE calculation of an optimized crystal structure of Sr8Sb5Te, from the Alexandria database.

Lattice parameters (Å, degrees): 8.682 8.682 8.682 109.51 109.51 109.39
Fractional positions:
Sr: 0.126 0.231 0.753
Sr: 0.131 0.738 0.753
Sr: 0.262 0.016 0.394
Sr: 0.479 0.374 0.247
Sr: 0.622 0.869 0.606
Sr: 0.626 0.874 0.105
Sr: 0.769 0.521 0.895
Sr: 0.984 0.378 0.247
Sb: 0.000 0.000 0.000
Sb: 0.250 0.628 0.123
Sb: 0.372 0.495 0.622
Sb: 0.505 0.127 0.877
Sb: 0.873 0.750 0.378
Te: 0.750 0.250 0.500

Properties
N(E_F) (states/eV/cell): 9.243
Volume (Å³ per atom): 35.99
VASP energy (eV/atom): -3.80
Calculated density (g cm⁻³): 4.737
ΔE_f (raw) (kcal/mol of atoms): -26.242

Entry 7:
The following is a PBE calculation of an optimized crystal structure of Sr3SbTe, from the Alexandria database.

Lattice parameters (Å, degrees): 6.213 6.213 6.213 90.00 90.00 90.00
Fractional positions:
Sr: 0.000 0.000 0.500
Sr: 0.000 0.500 0.000
Sr: 0.500 0.000 0.000
Sb: 0.000 0.000 0.000
Te: 0.500 0.500 0.500

Properties
N(E_F) (states/eV/cell): 3.380
Volume (Å³ per atom): 47.95
VASP energy (eV/atom): -3.18
Calculated density (g cm⁻³): 3.547
ΔE_f (raw) (kcal/mol of atoms): -16.460
Energy relative to the lowest polymorph listed for this composition (meV/atom): 0

Entry 8:
The following is a PBE calculation of an optimized crystal structure of Sr4SbTe5, from the Alexandria database.

Lattice parameters (Å, degrees): 18.842 18.842 18.842 14.61 14.61 14.61
Fractional positions:
Sr: 0.103 0.103 0.103
Sr: 0.299 0.299 0.299
Sr: 0.701 0.701 0.701
Sr: 0.897 0.897 0.897
Sb: 0.500 0.500 0.500
Te: 0.000 0.000 0.000
Te: 0.195 0.195 0.195
Te: 0.402 0.402 0.402
Te: 0.598 0.598 0.598
Te: 0.805 0.805 0.805

Properties
N(E_F) (states/eV/cell): 2.957
Volume (Å³ per atom): 37.06
VASP energy (eV/atom): -3.96
Calculated density (g cm⁻³): 4.975
ΔE_f (raw) (kcal/mol of atoms): -30.167

Entry 9:
The following is a PBE calculation of an optimized crystal structure of SrSbTe2, from the Alexandria database.

Lattice parameters (Å, degrees): 6.550 6.550 4.936 90.00 90.00 38.96
Fractional positions:
Sr: 0.000 0.000 0.000
Sb: 0.779 0.779 0.501
Te: 0.283 0.283 0.001
Te: 0.549 0.549 0.500

Properties
N(E_F) (states/eV/cell): 1.052
Volume (Å³ per atom): 33.29
VASP energy (eV/atom): -3.84
Calculated density (g cm⁻³): 5.793
ΔE_f (raw) (kcal/mol of atoms): -18.812

Entry 10:
The following is a PBE calculation of an optimized crystal structure of SrSb2Te, from the Alexandria database.

Lattice parameters (Å, degrees): 4.819 4.489 6.743 90.00 95.60 90.00
Fractional positions:
Sr: 0.000 0.000 0.000
Sb: 0.043 0.000 0.497
Sb: 0.643 0.500 0.443
Te: 0.507 0.500 0.005

Properties
N(E_F) (states/eV/cell): 0.244
Volume (Å³ per atom): 36.30
VASP energy (eV/atom): -3.96
Calculated density (g cm⁻³): 5.247
ΔE_f (raw) (kcal/mol of atoms): -16.055

Entry 11:
The following is a PBE calculation of an optimized crystal structure of SrSb2Te, from the Alexandria database.

Lattice parameters (Å, degrees): 4.992 4.516 6.499 90.00 110.75 90.00
Fractional positions:
Sr: 0.000 0.000 0.000
Sb: 0.327 0.500 0.770
Sb: 0.673 0.500 0.230
Te: 0.500 0.000 0.500

Properties
N(E_F) (states/eV/cell): 0.941
Volume (Å³ per atom): 34.26
VASP energy (eV/atom): -3.74
Calculated density (g cm⁻³): 5.559
ΔE_f (raw) (kcal/mol of atoms): -11.011

Entry 12:
The following is a PBE calculation of an optimized crystal structure of SrSb2Te, from the Alexandria database.

Lattice parameters (Å, degrees): 4.602 4.602 6.236 90.00 90.00 90.00
Fractional positions:
Sr: 0.000 0.000 0.000
Sb: 0.500 0.500 0.230
Sb: 0.500 0.500 0.770
Te: 0.000 0.000 0.500

Properties
N(E_F) (states/eV/cell): 1.618
Volume (Å³ per atom): 33.01
VASP energy (eV/atom): -3.65
Calculated density (g cm⁻³): 5.769
ΔE_f (raw) (kcal/mol of atoms): -8.773

Entry 13:
The following is a PBE calculation of an optimized crystal structure of SrSbTe2, from the Alexandria database.

Lattice parameters (Å, degrees): 9.865 9.865 9.865 27.48 27.48 27.48
Fractional positions:
Sr: 0.000 0.000 0.000
Sb: 0.500 0.500 0.500
Te: 0.400 0.400 0.400
Te: 0.600 0.600 0.600

Properties
N(E_F) (states/eV/cell): 2.587
Volume (Å³ per atom): 45.09
VASP energy (eV/atom): -3.41
Calculated density (g cm⁻³): 4.277
ΔE_f (raw) (kcal/mol of atoms): -8.952

Entry 14:
The following is a PBE calculation of an optimized crystal structure of SrSbTe2, from the Alexandria database.

Lattice parameters (Å, degrees): 6.233 6.233 5.769 117.44 117.44 41.92
Fractional positions:
Sr: 0.000 0.000 0.000
Sb: 0.500 0.500 0.500
Te: 0.204 0.204 0.705
Te: 0.796 0.796 0.295

Properties
N(E_F) (states/eV/cell): 1.797
Volume (Å³ per atom): 32.56
VASP energy (eV/atom): -3.68
Calculated density (g cm⁻³): 5.924
ΔE_f (raw) (kcal/mol of atoms): -15.120

Entry 15:
The following is a PBE calculation of an optimized crystal structure of SrSb2Te, from the Alexandria database.

Lattice parameters (Å, degrees): 5.605 5.605 5.605 60.00 60.00 60.00
Fractional positions:
Sr: 0.000 0.000 0.000
Sb: 0.250 0.250 0.250
Sb: 0.500 0.500 0.500
Te: 0.750 0.750 0.750

Properties
N(E_F) (states/eV/cell): 1.703
Volume (Å³ per atom): 31.13
VASP energy (eV/atom): -3.64
Calculated density (g cm⁻³): 6.118
ΔE_f (raw) (kcal/mol of atoms): -8.563

Entry 16:
The following is a PBE calculation of an optimized crystal structure of SrSb2Te2, from the Alexandria database.

Lattice parameters (Å, degrees): 8.643 8.643 4.408 90.00 90.00 90.00
Fractional positions:
Sr: 0.000 0.000 0.000
Sr: 0.500 0.500 0.000
Sb: 0.130 0.370 0.000
Sb: 0.370 0.870 0.000
Sb: 0.630 0.130 0.000
Sb: 0.870 0.630 0.000
Te: 0.205 0.705 0.500
Te: 0.295 0.205 0.500
Te: 0.705 0.795 0.500
Te: 0.795 0.295 0.500

Properties
N(E_F) (states/eV/cell): 4.404
Volume (Å³ per atom): 32.93
VASP energy (eV/atom): -3.65
Calculated density (g cm⁻³): 5.914
ΔE_f (raw) (kcal/mol of atoms): -9.433
Energy relative to the lowest polymorph listed for this composition (meV/atom): 31

Entry 17:
The following is a PBE calculation of an optimized crystal structure of SrSbTe2, from the Alexandria database.

Lattice parameters (Å, degrees): 5.652 5.652 5.652 60.00 60.00 60.00
Fractional positions:
Sr: 0.000 0.000 0.000
Sb: 0.250 0.250 0.250
Te: 0.500 0.500 0.500
Te: 0.750 0.750 0.750

Properties
N(E_F) (states/eV/cell): 4.212
Volume (Å³ per atom): 31.91
VASP energy (eV/atom): -3.28
Calculated density (g cm⁻³): 6.043
ΔE_f (raw) (kcal/mol of atoms): -5.981

Entry 18:
The following is a PBE calculation of an optimized crystal structure of SrSb2Te, from the Alexandria database.

Lattice parameters (Å, degrees): 6.294 6.294 6.294 140.58 127.23 67.82
Fractional positions:
Sr: 0.000 0.000 0.000
Sb: 0.275 0.775 0.500
Sb: 0.477 0.477 0.000
Te: 0.714 0.214 0.500

Properties
N(E_F) (states/eV/cell): 2.865
Volume (Å³ per atom): 31.01
VASP energy (eV/atom): -3.79
Calculated density (g cm⁻³): 6.141
ΔE_f (raw) (kcal/mol of atoms): -11.981

Entry 19:
The following is a PBE calculation of an optimized crystal structure of SrSb2Te2, from the Alexandria database.

Lattice parameters (Å, degrees): 9.411 9.411 9.411 153.32 153.32 38.09
Fractional positions:
Sr: 0.000 0.000 0.000
Sb: 0.250 0.750 0.500
Sb: 0.750 0.250 0.500
Te: 0.412 0.412 0.000
Te: 0.588 0.588 0.000

Properties
N(E_F) (states/eV/cell): 0.711
Volume (Å³ per atom): 33.56
VASP energy (eV/atom): -3.68
Calculated density (g cm⁻³): 5.802
ΔE_f (raw) (kcal/mol of atoms): -10.156
Energy relative to the lowest polymorph listed for this composition (meV/atom): 0

Entry 20:
The following is a PBE calculation of an optimized crystal structure of SrSbTe2, from the Alexandria database.

Lattice parameters (Å, degrees): 4.590 4.613 6.615 90.00 90.00 90.00
Fractional positions:
Sr: 0.000 0.000 0.000
Sb: 0.500 0.500 0.500
Te: 0.000 0.000 0.500
Te: 0.500 0.500 0.000

Properties
N(E_F) (states/eV/cell): 1.965
Volume (Å³ per atom): 35.01
VASP energy (eV/atom): -3.83
Calculated density (g cm⁻³): 5.508
ΔE_f (raw) (kcal/mol of atoms): -18.722

Entry 21:
The following is a PBE calculation of an optimized crystal structure of SrSbTe2, from the Alexandria database.

Lattice parameters (Å, degrees): 7.831 7.831 7.831 35.51 35.51 35.51
Fractional positions:
Sr: 0.000 0.000 0.000
Sb: 0.167 0.167 0.167
Te: 0.573 0.573 0.573
Te: 0.761 0.761 0.761

Properties
N(E_F) (states/eV/cell): 2.712
Volume (Å³ per atom): 36.20
VASP energy (eV/atom): -3.64
Calculated density (g cm⁻³): 5.327
ΔE_f (raw) (kcal/mol of atoms): -14.231

Entry 22:
The following is a PBE calculation of an optimized crystal structure of SrSb2Te, from the Alexandria database.

Lattice parameters (Å, degrees): 9.134 9.134 9.134 134.68 134.68 66.03
Fractional positions:
Sr: 0.000 0.000 0.000
Sr: 0.750 0.250 0.500
Sb: 0.166 0.625 0.041
Sb: 0.375 0.416 0.541
Sb: 0.584 0.125 0.959
Sb: 0.875 0.834 0.459
Te: 0.250 0.750 0.500
Te: 0.500 0.500 0.000

Properties
N(E_F) (states/eV/cell): 1.345
Volume (Å³ per atom): 47.42
VASP energy (eV/atom): -3.32
Calculated density (g cm⁻³): 4.016
ΔE_f (raw) (kcal/mol of atoms): -1.256

Entry 23:
The following is a PBE calculation of an optimized crystal structure of SrTiSb2Te, from the Alexandria database.

Lattice parameters (Å, degrees): 5.891 5.891 5.951 90.00 90.00 90.00
Fractional positions:
Sr: 0.000 0.000 0.000
Ti: 0.500 0.500 0.500
Sb: 0.000 0.500 0.000
Sb: 0.500 0.000 0.000
Te: 0.000 0.000 0.500

Properties
N(E_F) (states/eV/cell): 6.107
Volume (Å³ per atom): 41.30
VASP energy (eV/atom): -3.26
Calculated density (g cm⁻³): 4.074
ΔE_f (raw) (kcal/mol of atoms): 21.607
Energy relative to the lowest polymorph listed for this composition (meV/atom): 1417

Entry 24:
The following is a PBE calculation of an optimized crystal structure of SrTiSb2Te, from the Alexandria database.

Lattice parameters (Å, degrees): 5.343 5.343 5.461 90.00 90.00 90.00
Fractional positions:
Sr: 0.000 0.000 0.000
Ti: 0.500 0.500 0.500
Sb: 0.000 0.500 0.500
Sb: 0.500 0.000 0.500
Te: 0.500 0.500 0.000

Properties
N(E_F) (states/eV/cell): 4.061
Volume (Å³ per atom): 31.19
VASP energy (eV/atom): -4.67
Calculated density (g cm⁻³): 5.395
ΔE_f (raw) (kcal/mol of atoms): -11.074
Energy relative to the lowest polymorph listed for this composition (meV/atom): 0

Entry 25:
The following is a PBE calculation of an optimized crystal structure of SrTlSb2Te, from the Alexandria database.

Lattice parameters (Å, degrees): 5.687 5.687 5.933 90.00 90.00 90.00
Fractional positions:
Sr: 0.000 0.000 0.000
Tl: 0.500 0.500 0.500
Sb: 0.000 0.500 0.500
Sb: 0.500 0.000 0.500
Te: 0.500 0.500 0.000

Properties
N(E_F) (states/eV/cell): 6.766
Volume (Å³ per atom): 38.38
VASP energy (eV/atom): -2.96
Calculated density (g cm⁻³): 5.739
ΔE_f (raw) (kcal/mol of atoms): 2.938
Energy relative to the lowest polymorph listed for this composition (meV/atom): 0

Entry 26:
The following is a PBE calculation of an optimized crystal structure of SrTlSb2Te, from the Alexandria database.

Lattice parameters (Å, degrees): 6.101 6.101 6.130 90.00 90.00 90.00
Fractional positions:
Sr: 0.000 0.000 0.000
Tl: 0.500 0.500 0.500
Sb: 0.000 0.500 0.000
Sb: 0.500 0.000 0.000
Te: 0.000 0.000 0.500

Properties
N(E_F) (states/eV/cell): 5.809
Volume (Å³ per atom): 45.63
VASP energy (eV/atom): -2.75
Calculated density (g cm⁻³): 4.826
ΔE_f (raw) (kcal/mol of atoms): 7.699
Energy relative to the lowest polymorph listed for this composition (meV/atom): 206

Entry 27:
The following is a PBE calculation of an optimized crystal structure of SrV2SbTe, from the Alexandria database.

Lattice parameters (Å, degrees): 5.554 5.554 5.822 90.00 90.00 90.00
Fractional positions:
Sr: 0.000 0.000 0.000
V: 0.000 0.500 0.000
V: 0.500 0.000 0.000
Sb: 0.000 0.000 0.500
Te: 0.500 0.500 0.500

Properties
N(E_F) (states/eV/cell): 9.702
Volume (Å³ per atom): 35.91
VASP energy (eV/atom): -3.65
Calculated density (g cm⁻³): 4.058
ΔE_f (raw) (kcal/mol of atoms): 41.117

Entry 28:
The following is a PBE calculation of an optimized crystal structure of SrVSbTe2, from the Alexandria database.

Lattice parameters (Å, degrees): 6.039 6.039 5.951 90.00 90.00 90.00
Fractional positions:
Sr: 0.000 0.000 0.000
V: 0.500 0.500 0.500
Sb: 0.000 0.000 0.500
Te: 0.000 0.500 0.000
Te: 0.500 0.000 0.000

Properties
N(E_F) (states/eV/cell): 10.940
Volume (Å³ per atom): 43.40
VASP energy (eV/atom): -3.35
Calculated density (g cm⁻³): 3.945
ΔE_f (raw) (kcal/mol of atoms): 20.649
Energy relative to the lowest polymorph listed for this composition (meV/atom): 1248